No. 1
{"formula": "LaBe2Tc", "functional": "GGA-PBEsol", "state": "optimized geometry", "cell": [[4.393, 0.000, 0.000], [-2.197, 3.890, 0.309], [0.000, 2.178, 3.815]], "species": ["Be", "Be", "Tc", "La"], "frac_coords": [[0.000, 0.000, 0.000], [0.250, 0.500, 0.250], [0.750, 0.500, 0.750], [0.500, 0.000, 0.500]], "relative_energy_mev_per_atom": 171, "e_tot_ev_per_cell": -22.07}

No. 2
{"formula": "SrMnIN2", "functional": "GGA-PBEsol", "state": "optimized geometry", "cell": [[4.651, 0.000, 0.000], [0.000, 4.651, 0.000], [0.000, 0.000, 6.385]], "species": ["I", "Sr", "Mn", "N", "N"], "frac_coords": [[0.000, 0.000, 0.500], [0.000, 0.000, 0.000], [0.500, 0.500, 0.500], [0.000, 0.500, 0.000], [0.500, 0.000, 0.000]], "e_tot_ev_per_cell": -22.65, "formation_energy_uncorrected_ev_per_atom": 1.5539}

No. 3
{"formula": "YFeW2O8", "functional": "GGA-PBEsol", "state": "optimized geometry", "cell": [[-2.747, -4.229, 0.198], [4.582, -3.088, -1.225], [1.481, -1.380, 9.644]], "species": ["Y", "Y", "Fe", "Fe", "W", "W", "W", "W", "O", "O", "O", "O", "O", "O", "O", "O", "O", "O", "O", "O", "O", "O", "O", "O"], "frac_coords": [[0.263, 0.307, 0.747], [0.737, 0.693, 0.253], [0.741, 0.679, 0.739], [0.259, 0.321, 0.261], [0.747, 0.176, 0.490], [0.755, 0.174, 0.007], [0.253, 0.824, 0.510], [0.245, 0.826, 0.993], [0.413, 0.633, 0.862], [0.587, 0.367, 0.138], [0.097, 0.635, 0.643], [0.903, 0.365, 0.357], [0.459, 0.071, 0.380], [0.541, 0.929, 0.620], [0.045, 0.093, 0.115], [0.955, 0.907, 0.885], [0.887, 0.384, 0.880], [0.113, 0.616, 0.120], [0.628, 0.409, 0.616], [0.372, 0.591, 0.384], [0.441, 0.113, 0.907], [0.559, 0.887, 0.093], [0.057, 0.117, 0.593], [0.943, 0.883, 0.407]], "relative_energy_mev_per_atom": 0, "e_tot_ev_per_cell": -224.26, "formation_energy_uncorrected_ev_per_atom": -2.2280}

No. 4
{"formula": "Hf2ReIrAu", "functional": "GGA-PBEsol", "state": "optimized geometry", "cell": [[4.612, 0.000, 0.000], [0.000, 4.945, 0.000], [0.000, 0.000, 4.945]], "species": ["Re", "Ir", "Au", "Hf", "Hf"], "frac_coords": [[0.000, 0.000, 0.000], [0.500, 0.000, 0.000], [0.500, 0.500, 0.500], [0.000, 0.000, 0.500], [0.000, 0.500, 0.000]], "e_tot_ev_per_cell": -43.70}

No. 5
{"formula": "ZrBeW2", "functional": "GGA-PBEsol", "state": "optimized geometry", "cell": [[2.726, -0.007, 0.000], [-0.590, 2.662, 0.000], [0.000, 0.000, 8.317]], "species": ["Be", "Zr", "W", "W"], "frac_coords": [[0.500, 0.500, 0.000], [0.500, 0.500, 0.500], [0.000, 0.000, 0.205], [0.000, 0.000, 0.795]], "e_tot_ev_per_cell": -39.74}

No. 6
{"formula": "InCuI2N", "functional": "GGA-PBEsol", "state": "optimized geometry", "cell": [[-2.249, 0.790, -2.845], [4.310, -0.697, -3.601], [-1.301, -5.486, -0.494]], "species": ["I", "I", "N", "Cu", "In"], "frac_coords": [[0.000, 0.000, 0.500], [0.000, 0.500, 0.000], [0.500, 0.000, 0.000], [0.000, 0.000, 0.000], [0.500, 0.500, 0.500]], "e_tot_ev_per_cell": -17.02, "formation_energy_uncorrected_ev_per_atom": 0.4711}

Number 1: calculated density 6.801 g/cm3. Number 2: calculated density 3.577 g/cm3. Number 3: calculated density 7.578 g/cm3. Number 4: calculated density 13.726 g/cm3. Number 5: calculated density 12.882 g/cm3. Number 6: calculated density 6.231 g/cm3.